1.
# CuSnN2

CuSnN2 after structural relaxation (GGA-PBEsol, Alexandria via LeMat-Bulk).

Results
The volume comes out at 49.5 Å³/f.u. The calculation puts the total magnetization at 0.000 μB/atom. As for the raw formation energy: 0.85 eV/atom. The value obtained for the total energy is -5.564 eV per atom. The value obtained for the density of states at the Fermi level is 0.47 states/eV per atom.

The structure in POSCAR format:
```
CuSnN2
1.0
3.062 0.000 0.000
1.531 2.652 0.000
1.531 0.884 6.097
N Cu Sn
2 1 1
Cartesian
1.531 0.884 3.965
4.593 2.652 2.132
3.062 1.768 3.049
0.000 0.000 0.000
```

---

2.
# CuSnTe2N

CuSnTe2N after structural relaxation (GGA-PBEsol, Alexandria via LeMat-Bulk).

Results
The volume comes out at 126.5 Å³/f.u. The calculation puts the total magnetization at 0.088 μB/atom. As for the raw formation energy: 1.09 eV/atom. The value obtained for the total energy is -3.747 eV per atom. The value obtained for the density of states at the Fermi level is 1.04 states/eV per atom.

The structure in POSCAR format:
```
CuSnTe2N
1.0
3.803 0.000 0.000
0.000 5.767 0.000
0.000 0.000 5.767
N Te Sn Cu
1 2 1 1
Cartesian
1.902 0.000 0.000
0.000 0.000 2.883
0.000 2.883 0.000
0.000 0.000 0.000
1.902 2.883 2.883
```

---

3.
# Sr6Cu3N5

Sr6Cu3N5 after structural relaxation (GGA-PBEsol, Alexandria via LeMat-Bulk).

Results
The volume comes out at 266.0 Å³/f.u. The calculation puts the total magnetization at 0.000 μB/atom. As for the raw formation energy: -0.58 eV/atom. The value obtained for the total energy is -5.340 eV per atom.

The structure in POSCAR format:
```
Sr6Cu3N5
1.0
-3.357 -2.925 -5.717
7.314 -3.793 -2.355
-2.042 -6.861 4.710
N Sr Cu
10 12 6
Cartesian
3.212 -2.284 -1.935
1.442 -5.288 -2.596
3.225 -5.120 -6.061
-1.251 -2.207 -0.330
0.883 -9.014 -4.954
-2.395 -6.051 2.309
-0.873 -2.995 -4.741
0.574 -8.203 -0.594
-2.225 -7.402 -3.953
-3.144 -5.281 -1.261
-1.869 -7.867 -1.411
1.895 -3.431 -4.177
1.562 -9.646 -2.516
2.885 -8.300 0.611
-1.066 -5.170 -3.263
-1.684 -1.467 -2.867
0.010 -6.809 1.537
2.364 -6.949 -4.367
-0.005 -0.005 -0.009
3.843 -5.081 -1.598
0.968 -3.591 -0.673
-1.104 -3.503 2.214
-0.504 -4.093 -6.181
-2.188 -3.733 -0.783
-2.762 -5.662 0.541
1.050 -6.709 -1.523
1.552 -5.159 -6.843
-0.629 -8.172 -4.382
```

---

4.
# Sr2CuN2

Sr2CuN2 after structural relaxation (GGA-PBEsol, Alexandria via LeMat-Bulk).

Results
The volume comes out at 88.7 Å³/f.u. The calculation puts the total magnetization at 0.000 μB/atom. As for the raw formation energy: -0.53 eV/atom. The value obtained for the total energy is -5.541 eV per atom. The value obtained for the density of states at the Fermi level is 0.83 states/eV per atom.

The structure in POSCAR format:
```
Sr2CuN2
1.0
3.762 0.000 0.000
0.000 3.762 0.000
-1.881 -1.881 6.266
N Sr Cu
2 2 1
Cartesian
0.000 0.000 1.790
1.881 1.881 4.475
1.881 1.881 1.902
0.000 0.000 4.364
0.000 0.000 0.000
```